DFT (PBE-GGA) results for crystalline OsPd3Ru at its relaxed geometry.

The structure in POSCAR format:
```
OsPd3Ru
1.0
4.7559 0.0000 0.0000
0.0000 4.7559 0.0000
0.0000 0.0000 4.7559
Ru Os Pd
1 1 3
Direct
0.5000 0.5000 0.5000
0.0000 0.0000 0.0000
0.0000 0.5000 0.0000
0.0000 0.0000 0.5000
0.5000 0.0000 0.0000
```

For the relative energy among the computed polymorphs, the calculation gives 0 meV/atom. The energy of formation comes out at 1788 meV per atom. Its space group is No. 221. Its total magnetization is 2.47 μB per cell.